1.
# ScCo2Te

ScCo2Te after structural relaxation (PBEsol, Alexandria via LeMat-Bulk).

Results
Energy above the most stable polymorph in this dataset, eV per atom: 0.353
V, Å³ per atom: 15.2
Formation energy from raw total energies, eV/atom: 0.0841

Cell lengths 4.4179, 4.4179, 4.4179 Å; angles 60.00, 60.00, 60.00 degrees
Closest atoms and distances in Å follow each position.
Positions (direct):
Co1 0.0000 0.0000 0.0000  4 Co 2.71, 4 Te 2.71
Co2 0.7500 0.7500 0.7500  4 Sc 2.71, 4 Co 2.71
Te1 0.2500 0.2500 0.2500  4 Co 2.71, 4 Sc 2.71
Sc1 0.5000 0.5000 0.5000  4 Co 2.71, 4 Te 2.71

2.
# HgP2

HgP2 after structural relaxation (PBEsol, Alexandria via LeMat-Bulk).

Results
V, Å³ per atom: 20.3
Formation enthalpy at 0 K, eV/atom: 0.0632

Cell lengths 3.2580, 3.2580, 13.2321 Å; angles 90.00, 90.00, 120.00 degrees
Closest atoms and distances in Å follow each position.
Positions (direct):
P1 0.3333 0.6667 0.5465  3 P 2.25
P2 0.6667 0.3333 0.0465  3 P 2.25
P3 0.3333 0.6667 0.9535  3 P 2.25
P4 0.6667 0.3333 0.4535  3 P 2.25
Hg1 0.0000 0.0000 0.7500  6 Hg 3.26, 6 P 3.28
Hg2 0.0000 0.0000 0.2500  6 Hg 3.26, 6 P 3.28